First-principles (PBE) data for a relaxed structure of Nb2Pt2Rh, as listed in the Alexandria database.

Cell lengths 7.345, 7.345, 2.806 Å; angles 90.00, 90.00, 147.13 degrees
Fractional positions:
Nb 0.109 0.891 0.000
Nb 0.891 0.109 0.000
Pt 0.309 0.691 0.500
Pt 0.691 0.309 0.500
Rh 0.500 0.500 0.500

Properties
The formation energy comes out at -0.483 eV per atom. The value obtained for the excess energy over the best structure of this formula in the dataset is 0 meV per atom.

=====

First-principles (PBE) data for a relaxed structure of Al3As4, as listed in the Alexandria database.

Cell lengths 5.204, 5.204, 5.539 Å; angles 90.00, 90.00, 120.00 degrees
Fractional positions:
Al 0.000 0.500 0.000
Al 0.500 0.000 0.000
Al 0.500 0.500 0.000
As 0.000 0.000 0.265
As 0.000 0.000 0.735
As 0.333 0.667 0.500
As 0.667 0.333 0.500

Properties
The formation energy comes out at 0.322 eV per atom. The value obtained for the excess energy over the best structure of this formula in the dataset is 371 meV per atom.

=====

First-principles (PBE) data for a relaxed structure of Cs3Rb12Pb, as listed in the Alexandria database.

Cell lengths 7.005, 7.005, 27.114 Å; angles 90.00, 90.00, 90.00 degrees
Fractional positions:
Cs 0.000 0.000 0.000
Cs 0.000 0.000 0.284
Cs 0.000 0.000 0.716
Rb 0.000 0.500 0.140
Rb 0.000 0.500 0.415
Rb 0.000 0.500 0.585
Rb 0.000 0.500 0.860
Rb 0.500 0.000 0.140
Rb 0.500 0.000 0.415
Rb 0.500 0.000 0.585
Rb 0.500 0.000 0.860
Rb 0.500 0.500 0.000
Rb 0.500 0.500 0.275
Rb 0.500 0.500 0.500
Rb 0.500 0.500 0.725
Pb 0.000 0.000 0.500

Properties
The formation energy comes out at 0.012 eV per atom.

=====

> Which of these has the highest formation energy?

Al3As4